(1)
Here is an optimized crystal structure of Th6PtSe3S2 from the Alexandria database. Energies are from PBE.

Calculated values
For the raw formation energy, the calculation gives -18.927 eV/f.u. As for the crystal system: monoclinic.

```
data_Th6PtSe3S2
_cell_length_a 9.455
_cell_length_b 9.455
_cell_length_c 8.505
_cell_angle_alpha 104.88
_cell_angle_beta 104.88
_cell_angle_gamma 24.87
_space_group_name_H-M_alt 'P 1'
_space_group_IT_number 1
_space_group_name_Hall 'P 1'
loop_
_atom_site_label
_atom_site_type_symbol
_atom_site_fract_x
_atom_site_fract_y
_atom_site_fract_z
Th1 Th 0.006 0.006 0.241
Th2 Th 0.330 0.330 0.426
Th3 Th 0.333 0.333 0.902
Th4 Th 0.667 0.667 0.098
Th5 Th 0.670 0.670 0.574
Th6 Th 0.994 0.994 0.759
Pt1 Pt 0.500 0.500 0.000
Se1 Se 0.164 0.164 0.834
Se2 Se 0.500 0.500 0.500
Se3 Se 0.836 0.836 0.166
S1 S 0.169 0.169 0.336
S2 S 0.831 0.831 0.664
```

---

(2)
Here is an optimized crystal structure of Tm12Sc6Al from the Alexandria database. Energies are from PBE.

Calculated values
As for the crystal system: trigonal. As for the formation energy: 0.086 eV per atom.

```
data_Tm12Sc6Al
_cell_length_a 8.126
_cell_length_b 8.126
_cell_length_c 8.126
_cell_angle_alpha 88.22
_cell_angle_beta 88.22
_cell_angle_gamma 88.22
_space_group_name_H-M_alt 'P 1'
_space_group_IT_number 1
_space_group_name_Hall 'P 1'
loop_
_atom_site_label
_atom_site_type_symbol
_atom_site_fract_x
_atom_site_fract_y
_atom_site_fract_z
Tm1 Tm 0.040 0.935 0.288
Tm2 Tm 0.065 0.712 0.960
Tm3 Tm 0.134 0.490 0.330
Tm4 Tm 0.288 0.040 0.935
Tm5 Tm 0.330 0.134 0.490
Tm6 Tm 0.490 0.330 0.134
Tm7 Tm 0.510 0.670 0.866
Tm8 Tm 0.670 0.866 0.510
Tm9 Tm 0.712 0.960 0.065
Tm10 Tm 0.866 0.510 0.670
Tm11 Tm 0.935 0.288 0.040
Tm12 Tm 0.960 0.065 0.712
Sc1 Sc 0.225 0.756 0.597
Sc2 Sc 0.244 0.403 0.775
Sc3 Sc 0.403 0.775 0.244
Sc4 Sc 0.597 0.225 0.756
Sc5 Sc 0.756 0.597 0.225
Sc6 Sc 0.775 0.244 0.403
Al1 Al 0.500 0.500 0.500
```

---

(3)
Here is an optimized crystal structure of TlHg6 from the Alexandria database. Energies are from PBE.

Calculated values
As for the crystal system: cubic. As for the formation energy: 0.210 eV per atom.

```
data_TlHg6
_cell_length_a 8.188
_cell_length_b 8.188
_cell_length_c 8.188
_cell_angle_alpha 90.00
_cell_angle_beta 90.00
_cell_angle_gamma 90.00
_space_group_name_H-M_alt 'P 1'
_space_group_IT_number 1
_space_group_name_Hall 'P 1'
loop_
_atom_site_label
_atom_site_type_symbol
_atom_site_fract_x
_atom_site_fract_y
_atom_site_fract_z
Tl1 Tl 0.000 0.000 0.000
Tl2 Tl 0.500 0.500 0.500
Hg1 Hg 0.000 0.250 0.500
Hg2 Hg 0.000 0.500 0.250
Hg3 Hg 0.000 0.500 0.750
Hg4 Hg 0.000 0.750 0.500
Hg5 Hg 0.250 0.000 0.500
Hg6 Hg 0.250 0.500 0.000
Hg7 Hg 0.500 0.000 0.250
Hg8 Hg 0.500 0.000 0.750
Hg9 Hg 0.500 0.250 0.000
Hg10 Hg 0.500 0.750 0.000
Hg11 Hg 0.750 0.000 0.500
Hg12 Hg 0.750 0.500 0.000
```

---

(4)
Here is an optimized crystal structure of U2Be4Si3Os from the Alexandria database. Energies are from PBE.

Calculated values
For the raw formation energy, the calculation gives -2.218 eV/f.u. As for the crystal system: tetragonal.

```
data_U2Be4Si3Os
_cell_length_a 3.844
_cell_length_b 3.844
_cell_length_c 9.561
_cell_angle_alpha 90.00
_cell_angle_beta 90.00
_cell_angle_gamma 90.00
_space_group_name_H-M_alt 'P 1'
_space_group_IT_number 1
_space_group_name_Hall 'P 1'
loop_
_atom_site_label
_atom_site_type_symbol
_atom_site_fract_x
_atom_site_fract_y
_atom_site_fract_z
U1 U 0.000 0.500 0.248
U2 U 0.500 0.000 0.752
Be1 Be 0.000 0.000 0.500
Be2 Be 0.000 0.500 0.865
Be3 Be 0.500 0.000 0.135
Be4 Be 0.500 0.500 0.500
Si1 Si 0.000 0.000 0.000
Si2 Si 0.000 0.500 0.632
Si3 Si 0.500 0.000 0.368
Os1 Os 0.500 0.500 0.000
```

---

(5)
Here is an optimized crystal structure of Pm5PrEr2Th from the Alexandria database. Energies are from PBE.

Calculated values
As for the crystal system: orthorhombic. As for the formation energy: 0.163 eV per atom.

```
data_Pm5PrEr2Th
_cell_length_a 10.596
_cell_length_b 10.596
_cell_length_c 10.553
_cell_angle_alpha 90.00
_cell_angle_beta 90.00
_cell_angle_gamma 148.77
_space_group_name_H-M_alt 'P 1'
_space_group_IT_number 1
_space_group_name_Hall 'P 1'
loop_
_atom_site_label
_atom_site_type_symbol
_atom_site_fract_x
_atom_site_fract_y
_atom_site_fract_z
Pm1 Pm 0.016 0.984 0.500
Pm2 Pm 0.277 0.723 0.208
Pm3 Pm 0.293 0.707 0.818
Pm4 Pm 0.388 0.612 0.495
Pm5 Pm 0.477 0.523 0.782
Pm6 Pm 0.523 0.477 0.282
Pm7 Pm 0.612 0.388 0.995
Pm8 Pm 0.707 0.293 0.318
Pm9 Pm 0.723 0.277 0.708
Pm10 Pm 0.984 0.016 0.000
Pr1 Pr 0.412 0.588 0.076
Pr2 Pr 0.588 0.412 0.576
Er1 Er 0.113 0.887 0.788
Er2 Er 0.116 0.884 0.203
Er3 Er 0.884 0.116 0.703
Er4 Er 0.887 0.113 0.288
Th1 Th 0.199 0.801 0.509
Th2 Th 0.801 0.199 0.009
```

---

(6)
Here is an optimized crystal structure of SrFeReP2 from the Alexandria database. Energies are from PBE.

Calculated values
As for the crystal system: tetragonal. As for the formation energy: -0.642 eV per atom.

```
data_SrFeReP2
_cell_length_a 3.924
_cell_length_b 3.924
_cell_length_c 11.840
_cell_angle_alpha 90.00
_cell_angle_beta 90.00
_cell_angle_gamma 90.00
_space_group_name_H-M_alt 'P 1'
_space_group_IT_number 1
_space_group_name_Hall 'P 1'
loop_
_atom_site_label
_atom_site_type_symbol
_atom_site_fract_x
_atom_site_fract_y
_atom_site_fract_z
Sr1 Sr 0.000 0.000 0.000
Sr2 Sr 0.500 0.500 0.500
Fe1 Fe 0.000 0.500 0.750
Fe2 Fe 0.500 0.000 0.250
Re1 Re 0.000 0.500 0.250
Re2 Re 0.500 0.000 0.750
P1 P 0.000 0.000 0.354
P2 P 0.000 0.000 0.646
P3 P 0.500 0.500 0.146
P4 P 0.500 0.500 0.854
```

---

Quick rundown of calculated total energy, same order as above: -88.2; -93.8; -5.4; -67.2; -87.2; -73.2 eV per cell
Quick rundown of D(E_F), same order as above: 0.7203; 1.6473; 0.4782; 1.1989; 1.4733; 0.9475 states/eV/atom
Quick rundown of volume, same order as above: 308.5; 535.9; 274.5; 141.3; 307.2; 91.2 Å³/f.u.